A relaxed LiAcU2N4 crystal, computed with PBE-GGA.

Summary:
Crystal system = orthorhombic
Energy = -8.955 eV/atom
Raw formation energy = -1.22 eV per atom
Calculated volume = 14.65 A^3/atom
Magnetization = 7.025 μB/cell

Geometry as POSCAR:
```
LiAcU2N4
1.0
1.792 -5.753 0.000
1.792 5.753 0.000
0.000 0.000 11.365
Li Ac U N
2 2 4 8
direct
0.165 0.835 0.750
0.835 0.165 0.250
0.104 0.896 0.250
0.896 0.104 0.750
0.371 0.629 0.057
0.371 0.629 0.443
0.629 0.371 0.557
0.629 0.371 0.943
0.000 0.000 0.000
0.000 0.000 0.500
0.258 0.742 0.604
0.258 0.742 0.896
0.430 0.570 0.250
0.570 0.430 0.750
0.742 0.258 0.104
0.742 0.258 0.396
```

A relaxed LaTbMnCd crystal, computed with PBE-GGA.

Summary:
Crystal system = cubic
Energy = -4.902 eV/atom
Calculated formation energy = 0.01 eV/atom
Calculated volume = 26.52 A^3/atom
Magnetization = 3.202 μB/cell

Geometry as POSCAR:
```
LaTbMnCd
1.0
0.000 3.757 3.757
3.757 0.000 3.757
3.757 3.757 0.000
La Tb Mn Cd
1 1 1 1
direct
0.000 0.000 0.000
0.500 0.500 0.500
0.750 0.750 0.750
0.250 0.250 0.250
```

A relaxed CaPt2Rh crystal, computed with PBE-GGA.

Summary:
Crystal system = trigonal
Energy = -5.294 eV/atom
Calculated formation energy = 0.06 eV/atom
Calculated volume = 17.18 A^3/atom
Magnetization = 1.145 μB/cell

Geometry as POSCAR:
```
CaPt2Rh
1.0
1.463 0.845 9.272
-1.463 0.845 9.272
0.000 -1.689 9.272
Ca Pt Rh
1 2 1
direct
0.000 0.000 0.000
0.503 0.503 0.503
0.753 0.753 0.753
0.248 0.248 0.248
```

Copy entry 3 word for word.
A relaxed CaPt2Rh crystal, computed with PBE-GGA.

Summary:
Crystal system = trigonal
Energy = -5.294 eV/atom
Calculated formation energy = 0.06 eV/atom
Calculated volume = 17.18 A^3/atom
Magnetization = 1.145 μB/cell

Geometry as POSCAR:
```
CaPt2Rh
1.0
1.463 0.845 9.272
-1.463 0.845 9.272
0.000 -1.689 9.272
Ca Pt Rh
1 2 1
direct
0.000 0.000 0.000
0.503 0.503 0.503
0.753 0.753 0.753
0.248 0.248 0.248
```